(1)
First-principles (PBEsol) data for a relaxed CaAlPd2S crystal, as listed in Alexandria via LeMat-Bulk.

abc: 4.5492 4.5492 4.8164
angles: 90.00 90.00 90.00
Positions (direct):
S 0.0000 0.0000 0.0000
Ca 0.5000 0.5000 0.5000
Pd 0.0000 0.5000 0.0000
Pd 0.5000 0.0000 0.0000
Al 0.0000 0.0000 0.5000

Calculated values
DOS at the Fermi energy = 0.369 states/eV/atom
symmetry = No. 123
formation energy without anion corrections = -0.283 eV per atom

---

(2)
First-principles (PBEsol) data for a relaxed CaAlPt4 crystal, as listed in Alexandria via LeMat-Bulk.

abc: 5.2779 5.2779 5.2779
angles: 60.00 60.00 60.00
Positions (direct):
Pt 0.8734 0.3755 0.3755
Pt 0.3755 0.3755 0.3755
Pt 0.3755 0.3755 0.8734
Pt 0.3755 0.8734 0.3755
Al 0.7500 0.7500 0.7500
Ca 0.0000 0.0000 0.0000

Calculated values
DOS at the Fermi energy = 0.396 states/eV/atom
symmetry = No. 216
energy of formation from the pure elements = -0.606 eV per atom

---

(3)
First-principles (PBEsol) data for a relaxed Ca2AlPt crystal, as listed in Alexandria via LeMat-Bulk.

abc: 4.7691 7.6842 7.6842
angles: 84.47 71.92 71.92
Positions (direct):
Al 0.2500 0.5000 0.5000
Al 0.5000 0.0000 0.0000
Ca 0.8750 0.3381 0.1619
Ca 0.7869 0.8381 0.3381
Ca 0.3750 0.6619 0.8381
Ca 0.9631 0.1619 0.6619
Pt 0.0000 0.0000 0.0000
Pt 0.7500 0.5000 0.5000

Calculated values
DOS at the Fermi energy = 0.518 states/eV/atom
symmetry = No. 122
energy of formation from the pure elements = -0.422 eV per atom

---

(4)
First-principles (PBEsol) data for a relaxed CaAl2Pt crystal, as listed in Alexandria via LeMat-Bulk.

abc: 4.3048 4.3048 5.7945
angles: 68.19 68.19 60.00
Positions (direct):
Pt 0.6770 0.6770 0.9689
Ca 0.4910 0.4910 0.5270
Al 0.2913 0.2913 0.1260
Al 0.0317 0.0317 0.9048

Calculated values
DOS at the Fermi energy = 0.342 states/eV/atom
symmetry = No. 160
energy of formation from the pure elements = -0.760 eV per atom

---

(5)
First-principles (PBEsol) data for a relaxed CaAl2Pt crystal, as listed in Alexandria via LeMat-Bulk.

abc: 4.9690 4.9690 8.9416
angles: 106.13 106.13 90.00
Positions (direct):
Ca 0.5000 0.5000 0.0000
Ca 0.7500 0.2500 0.5000
Al 0.1250 0.3750 0.2500
Al 0.1250 0.8750 0.2500
Al 0.1250 0.8750 0.7500
Al 0.6250 0.8750 0.7500
Pt 0.2500 0.7500 0.5000
Pt 0.0000 0.0000 0.0000

Calculated values
DOS at the Fermi energy = 0.578 states/eV/atom
symmetry = No. 141
energy of formation from the pure elements = -0.308 eV per atom

---

(6)
First-principles (PBEsol) data for a relaxed Ca2AlPt crystal, as listed in Alexandria via LeMat-Bulk.

abc: 4.1954 4.3460 5.8552
angles: 111.78 90.00 90.00
Positions (direct):
Ca 0.5000 0.2688 0.5375
Ca 0.0000 0.9761 0.9523
Pt 0.0000 0.6858 0.3715
Al 0.5000 0.5690 0.1380

Calculated values
DOS at the Fermi energy = 0.557 states/eV/atom
symmetry = No. 38
energy of formation from the pure elements = -0.626 eV per atom